1.
First-principles (PBE) data for an optimized crystal structure of Tl4Pb, as listed in Alexandria.

Cell: 6.383 6.383 6.383 Å, 109.47 109.47 109.47°
Positions (direct):
1 Tl 0.000 0.000 0.500
2 Tl 0.000 0.500 0.000
3 Tl 0.500 0.500 0.500
4 Pb 0.000 0.000 0.000
5 Tl 0.500 0.000 0.000

- energy of formation (kcal/mol of atoms) = 6.08
- VASP energy (eV per atom) = -2.37
- relative energy among the computed polymorphs (meV/atom) = 256
- volume (Å³ per atom) = 40.031
- mass density (g cm⁻³) = 8.50

***

2.
First-principles (PBE) data for an optimized crystal structure of TlPb2, as listed in Alexandria.

Cell: 9.434 9.434 5.770 Å, 90.00 90.00 158.67°
Positions (direct):
1 Pb 0.775 0.225 0.500
2 Pb 0.004 0.996 0.000
3 Tl 0.334 0.666 0.000
4 Pb 0.670 0.330 0.000
5 Tl 0.110 0.890 0.500
6 Pb 0.441 0.559 0.500

- energy of formation (kcal/mol of atoms) = -0.16
- VASP energy (eV per atom) = -3.27
- relative energy among the computed polymorphs (meV/atom) = 6
- volume (Å³ per atom) = 31.144
- mass density (g cm⁻³) = 11.00